Computed, not measured: a geometry-optimized Ag12Te3I5 structure at the PBE level of DFT.

Unit cell a=16.921 b=16.921 c=16.921 alpha=90.00 beta=90.00 gamma=90.00
Space group Ia-3d (No. 230)
Asymmetric unit:
Ag1 0.004 0.081 0.655 (multiplicity 96)
Te1 0.000 0.250 0.125 (multiplicity 24)
I1 0.000 0.000 0.000 (multiplicity 16)
I2 0.000 0.250 0.375 (multiplicity 24)

Output
ΔE_f (raw) in eV/atom: -0.05
N(E_F) in states/eV per atom: 0.132
Volume in Å³ per cell: 4845
Spin magnetization in μB/atom: 0.00
Crystal system: cubic

***

Computed, not measured: a geometry-optimized AgTeI structure at the PBE level of DFT.

Unit cell a=5.777 b=4.296 c=8.673 alpha=90.00 beta=101.13 gamma=90.00
Space group P2_1/m (No. 11)
Asymmetric unit:
Ag1 0.178 0.250 0.180 (multiplicity 2)
Te1 0.424 0.750 0.593 (multiplicity 2)
I1 0.170 0.250 0.840 (multiplicity 2)

Output
ΔE_f (raw) in eV/atom: -0.13
N(E_F) in states/eV per atom: 0.056
Volume in Å³ per cell: 211
Spin magnetization in μB/atom: 0.00
Crystal system: monoclinic

***

Computed, not measured: a geometry-optimized AgTeI structure at the PBE level of DFT.

Unit cell a=7.480 b=4.716 c=7.481 alpha=90.00 beta=110.76 gamma=90.00
Space group Pm (No. 6)
Asymmetric unit:
Ag1 0.000 0.000 0.000 (multiplicity 1)
Ag2 0.439 0.500 0.836 (multiplicity 1)
Te1 0.012 0.000 0.381 (multiplicity 1)
Te2 0.227 0.500 0.442 (multiplicity 1)
I1 0.398 0.000 0.026 (multiplicity 1)
I2 0.819 0.500 0.810 (multiplicity 1)

Output
ΔE_f (raw) in eV/atom: -0.09
N(E_F) in states/eV per atom: 0.337
Volume in Å³ per cell: 247
Spin magnetization in μB/atom: 0.00
Crystal system: monoclinic

***

Computed, not measured: a geometry-optimized Ag7Te2I3 structure at the PBE level of DFT.

Unit cell a=25.982 b=7.108 c=7.474 alpha=90.00 beta=90.00 gamma=90.00
Space group Cmc2_1 (No. 36)
Asymmetric unit:
Ag1 0.000 0.184 0.000 (multiplicity 4)
Ag2 0.082 0.345 0.245 (multiplicity 8)
Ag3 0.128 0.014 0.615 (multiplicity 8)
Ag4 0.187 0.342 0.093 (multiplicity 8)
Te1 0.099 0.276 0.876 (multiplicity 8)
I1 0.000 0.234 0.468 (multiplicity 4)
I2 0.208 0.268 0.465 (multiplicity 8)

Output
ΔE_f (raw) in eV/atom: -0.11
Volume in Å³ per cell: 1380
Spin magnetization in μB/atom: 0.00
Crystal system: orthorhombic

***

Computed, not measured: a geometry-optimized AgTeI6 structure at the PBE level of DFT.

Unit cell a=8.377 b=10.180 c=8.780 alpha=90.00 beta=113.59 gamma=90.00
Space group C2/m (No. 12)
Asymmetric unit:
Ag1 0.000 0.000 0.000 (multiplicity 2)
Te1 0.000 0.000 0.500 (multiplicity 2)
I1 0.069 0.201 0.770 (multiplicity 8)
I2 0.106 0.500 0.783 (multiplicity 4)

Output
ΔE_f (raw) in eV/atom: 0.03
N(E_F) in states/eV per atom: 0.464
Volume in Å³ per cell: 686
Spin magnetization in μB/atom: 0.00
Crystal system: monoclinic

***

Computed, not measured: a geometry-optimized Ag4Te2I structure at the PBE level of DFT.

Unit cell a=4.324 b=11.800 c=15.322 alpha=90.00 beta=90.00 gamma=90.00
Space group Pbcm (No. 57)
Asymmetric unit:
Ag1 0.002 0.228 0.250 (multiplicity 4)
Ag2 0.004 0.115 0.605 (multiplicity 8)
Ag3 0.497 0.750 0.000 (multiplicity 4)
Te1 0.002 0.129 0.085 (multiplicity 8)
I1 0.499 0.583 0.750 (multiplicity 4)

Output
ΔE_f (raw) in eV/atom: -0.02
N(E_F) in states/eV per atom: 0.338
Volume in Å³ per cell: 782
Spin magnetization in μB/atom: 0.00
Crystal system: orthorhombic

***

Computed, not measured: a geometry-optimized AgTeI structure at the PBE level of DFT.

Unit cell a=3.107 b=4.354 c=14.992 alpha=90.00 beta=90.00 gamma=90.00
Space group Imm2 (No. 44)
Asymmetric unit:
Ag1 0.000 0.000 0.000 (multiplicity 2)
Te1 0.000 0.000 0.575 (multiplicity 2)
I1 0.000 0.000 0.307 (multiplicity 2)

Output
ΔE_f (raw) in eV/atom: 0.11
N(E_F) in states/eV per atom: 0.581
Volume in Å³ per cell: 203
Spin magnetization in μB/atom: 0.00
Crystal system: orthorhombic

***

Computed, not measured: a geometry-optimized AgTe2I structure at the PBE level of DFT.

Unit cell a=7.633 b=7.633 c=7.633 alpha=90.00 beta=90.00 gamma=90.00
Space group Fm-3m (No. 225)
Asymmetric unit:
Ag1 0.000 0.000 0.000 (multiplicity 4)
Te1 0.250 0.250 0.250 (multiplicity 8)
I1 0.000 0.000 0.500 (multiplicity 4)

Output
ΔE_f (raw) in eV/atom: 0.50
N(E_F) in states/eV per atom: 0.762
Volume in Å³ per cell: 445
Spin magnetization in μB/atom: 0.00
Crystal system: cubic

***

Computed, not measured: a geometry-optimized AgTe2I structure at the PBE level of DFT.

Unit cell a=8.997 b=8.997 c=5.939 alpha=90.00 beta=90.00 gamma=90.00
Space group I-42d (No. 122)
Asymmetric unit:
Ag1 0.000 0.000 0.000 (multiplicity 4)
Te1 0.195 0.750 0.125 (multiplicity 8)
I1 0.000 0.000 0.500 (multiplicity 4)

Output
ΔE_f (raw) in eV/atom: 0.18
N(E_F) in states/eV per atom: 0.997
Volume in Å³ per cell: 481
Spin magnetization in μB/atom: 0.00
Crystal system: tetragonal

***

Computed, not measured: a geometry-optimized Ag2TeI4 structure at the PBE level of DFT.

Unit cell a=7.582 b=7.582 c=8.528 alpha=90.00 beta=90.00 gamma=90.00
Space group I-42m (No. 121)
Asymmetric unit:
Ag1 0.000 0.500 0.250 (multiplicity 4)
Te1 0.000 0.000 0.000 (multiplicity 2)
I1 0.230 0.230 0.404 (multiplicity 8)

Output
ΔE_f (raw) in eV/atom: -0.01
Volume in Å³ per cell: 490
Spin magnetization in μB/atom: 0.00
Crystal system: tetragonal

***

> Which value of ΔE_f (raw) does entry 10 give?

-0.01 eV/atom